## SmDyTeP (PBE)

Data for SmDyTeP after structural relaxation.

abc: 4.1181 4.1181 21.9231
angles: 90.00 90.00 120.00
Space group R3m (No. 160, hexagonal axes)
Inequivalent atoms, fractional coordinates:
Sm (0.0000, 0.0000, 0.0000) (multiplicity 3)
Dy (0.0000, 0.0000, 0.8067) (multiplicity 3)
Te (0.0000, 0.0000, 0.2343) (multiplicity 3)
P (0.0000, 0.0000, 0.4073) (multiplicity 3)

Results
DOS at the Fermi energy in states/eV per cell: 8.19
Energy in eV per atom: -6.009
Volume in A^3/atom: 26.8